# 1
ErTmOsPd: relaxed, GGA-PBE.

Its volume is 317 Å³ per cell. For the calculated total energy, the calculation gives -6.975 eV/atom.

Cell lengths 6.816, 6.816, 6.816 Å; angles 90.00, 90.00, 90.00 degrees
Fractional positions:
Er: 0.000 0.000 0.000
Er: 0.000 0.500 0.500
Er: 0.500 0.000 0.500
Er: 0.500 0.500 0.000
Tm: 0.000 0.000 0.500
Tm: 0.000 0.500 0.000
Tm: 0.500 0.000 0.000
Tm: 0.500 0.500 0.500
Os: 0.250 0.250 0.250
Os: 0.250 0.750 0.750
Os: 0.750 0.250 0.750
Os: 0.750 0.750 0.250
Pd: 0.250 0.250 0.750
Pd: 0.250 0.750 0.250
Pd: 0.750 0.250 0.250
Pd: 0.750 0.750 0.750

=====

# 2
TbHoAgRu: relaxed, GGA-PBE.

Its volume is 88 Å³ per cell. As for the energy relative to the lowest polymorph listed for this composition: 0.0 meV per atom.

Cell lengths 3.420, 3.420, 7.508 Å; angles 90.00, 90.00, 90.00 degrees
Fractional positions:
Tb: 0.000 0.000 0.000
Ho: 0.000 0.000 0.555
Ag: 0.500 0.500 0.282
Ru: 0.500 0.500 0.775

=====

# 3
Tm4MgGe4: relaxed, GGA-PBE.

Its volume is 788 Å³ per cell. For the calculated total energy, the calculation gives -5.005 eV/atom.

Cell lengths 7.105, 14.498, 7.649 Å; angles 90.00, 90.00, 90.00 degrees
Fractional positions:
Tm: 0.008 0.093 0.182
Tm: 0.008 0.407 0.182
Tm: 0.167 0.126 0.677
Tm: 0.167 0.374 0.677
Tm: 0.333 0.626 0.177
Tm: 0.333 0.874 0.177
Tm: 0.492 0.593 0.682
Tm: 0.492 0.907 0.682
Tm: 0.508 0.093 0.318
Tm: 0.508 0.407 0.318
Tm: 0.667 0.126 0.823
Tm: 0.667 0.374 0.823
Tm: 0.833 0.626 0.323
Tm: 0.833 0.874 0.323
Tm: 0.992 0.593 0.818
Tm: 0.992 0.907 0.818
Mg: 0.163 0.750 0.518
Mg: 0.337 0.250 0.018
Mg: 0.663 0.750 0.982
Mg: 0.837 0.250 0.482
Ge: 0.027 0.750 0.090
Ge: 0.174 0.536 0.465
Ge: 0.174 0.964 0.465
Ge: 0.208 0.250 0.360
Ge: 0.292 0.750 0.860
Ge: 0.326 0.036 0.965
Ge: 0.326 0.464 0.965
Ge: 0.473 0.250 0.590
Ge: 0.527 0.750 0.410
Ge: 0.674 0.536 0.035
Ge: 0.674 0.964 0.035
Ge: 0.708 0.250 0.140
Ge: 0.792 0.750 0.640
Ge: 0.826 0.036 0.535
Ge: 0.826 0.464 0.535
Ge: 0.973 0.250 0.910

=====

# 4
Pr2Cu5Ni5: relaxed, GGA-PBE.

Its volume is 178 Å³ per cell. For the calculated total energy, the calculation gives -5.144 eV/atom.

Cell lengths 4.064, 5.030, 8.694 Å; angles 90.00, 90.00, 90.00 degrees
Fractional positions:
Pr: 0.000 0.000 0.000
Pr: 0.000 0.500 0.500
Cu: 0.500 0.000 0.500
Cu: 0.500 0.251 0.249
Cu: 0.500 0.251 0.751
Cu: 0.500 0.749 0.249
Cu: 0.500 0.749 0.751
Ni: 0.000 0.000 0.335
Ni: 0.000 0.000 0.665
Ni: 0.000 0.500 0.162
Ni: 0.000 0.500 0.838
Ni: 0.500 0.500 0.000

=====

# 5
Y2HgPb: relaxed, GGA-PBE.

Its volume is 227 Å³ per cell. For the calculated total energy, the calculation gives -4.733 eV/atom.

Cell lengths 6.184, 4.469, 8.725 Å; angles 90.00, 109.92, 90.00 degrees
Fractional positions:
Y: 0.198 0.250 0.431
Y: 0.287 0.750 0.067
Y: 0.713 0.250 0.933
Y: 0.802 0.750 0.569
Hg: 0.108 0.250 0.799
Hg: 0.892 0.750 0.201
Pb: 0.388 0.750 0.707
Pb: 0.612 0.250 0.293

=====

# 6
HoInHg4: relaxed, GGA-PBE.

Its volume is 154 Å³ per cell. As for the energy relative to the lowest polymorph listed for this composition: 140.4 meV per atom.

Cell lengths 6.020, 6.020, 6.020 Å; angles 60.00, 60.00, 60.00 degrees
Fractional positions:
Ho: 0.000 0.000 0.000
In: 0.250 0.250 0.250
Hg: 0.124 0.625 0.625
Hg: 0.625 0.124 0.625
Hg: 0.625 0.625 0.124
Hg: 0.625 0.625 0.625

=====

# 7
TiNbIr2: relaxed, GGA-PBE.

Its volume is 284 Å³ per cell. For the calculated total energy, the calculation gives -8.825 eV/atom.

Cell lengths 4.097, 4.097, 16.943 Å; angles 90.00, 90.00, 90.00 degrees
Fractional positions:
Ti: 0.000 0.000 0.000
Ti: 0.000 0.500 0.250
Ti: 0.500 0.000 0.750
Ti: 0.500 0.500 0.500
Nb: 0.000 0.000 0.500
Nb: 0.000 0.500 0.750
Nb: 0.500 0.000 0.250
Nb: 0.500 0.500 0.000
Ir: 0.232 0.250 0.125
Ir: 0.250 0.732 0.375
Ir: 0.250 0.768 0.875
Ir: 0.268 0.250 0.625
Ir: 0.732 0.750 0.625
Ir: 0.750 0.232 0.875
Ir: 0.750 0.268 0.375
Ir: 0.768 0.750 0.125

=====

# 8
LaMo4Au: relaxed, GGA-PBE.

Its volume is 115 Å³ per cell. For the calculated total energy, the calculation gives -8.154 eV/atom.

Cell lengths 5.463, 5.463, 5.463 Å; angles 60.00, 60.00, 60.00 degrees
Fractional positions:
La: 0.000 0.000 0.000
Mo: 0.124 0.625 0.625
Mo: 0.625 0.124 0.625
Mo: 0.625 0.625 0.124
Mo: 0.625 0.625 0.625
Au: 0.250 0.250 0.250